(1)
Gd2IrPd after structural relaxation. Source: the Alexandria database, functional GGA-PBEsol.

```
Gd2IrPd
1.0
0.000 3.438 3.438
3.438 0.000 3.438
3.438 3.438 0.000
Gd Ir Pd
2 1 1
Direct
0.250 0.250 0.250
0.750 0.750 0.750
0.000 0.000 0.000
0.500 0.500 0.500
```

Calculated formation energy (meV/atom): -804.7
Theoretical density (kg/m3): 12530

(2)
Gd2IrRh after structural relaxation. Source: the Alexandria database, functional GGA-PBEsol.

```
Gd2IrRh
1.0
0.000 3.402 3.402
3.402 0.000 3.402
3.402 3.402 0.000
Gd Ir Rh
2 1 1
Direct
0.250 0.250 0.250
0.750 0.750 0.750
0.000 0.000 0.000
0.500 0.500 0.500
```

Calculated formation energy (meV/atom): -742.3
Theoretical density (kg/m3): 12851

(3)
Gd2IrRu after structural relaxation. Source: the Alexandria database, functional GGA-PBEsol.

```
Gd2IrRu
1.0
0.000 3.385 3.385
3.385 0.000 3.385
3.385 3.385 0.000
Gd Ir Ru
2 1 1
Direct
0.250 0.250 0.250
0.750 0.750 0.750
0.000 0.000 0.000
0.500 0.500 0.500
```

Calculated formation energy (meV/atom): -466.5
Theoretical density (kg/m3): 13011

(4)
GdTmIr2 after structural relaxation. Source: the Alexandria database, functional GGA-PBEsol.

```
GdTmIr2
1.0
0.000 3.370 3.370
3.370 0.000 3.370
3.370 3.370 0.000
Gd Tm Ir
1 1 2
Direct
0.000 0.000 0.000
0.500 0.500 0.500
0.250 0.250 0.250
0.750 0.750 0.750
```

Calculated formation energy (meV/atom): -783.7
Theoretical density (kg/m3): 15409

(5)
KNaGdTaO5 after structural relaxation. Source: the Alexandria database, functional GGA-PBEsol.

```
KNaGdTaO5
1.0
5.646 0.000 0.000
0.000 5.646 0.000
0.000 0.000 8.227
K Na Gd Ta O
2 2 2 2 10
Direct
0.250 0.750 0.000
0.750 0.250 0.000
0.250 0.250 0.241
0.750 0.750 0.759
0.250 0.750 0.500
0.750 0.250 0.500
0.250 0.250 0.738
0.750 0.750 0.262
0.017 0.017 0.666
0.017 0.483 0.666
0.250 0.250 0.964
0.483 0.017 0.666
0.483 0.483 0.666
0.517 0.517 0.334
0.517 0.983 0.334
0.750 0.750 0.036
0.983 0.517 0.334
0.983 0.983 0.334
```

ΔE_f (raw) (eV per atom): -2.745
Theoretical density (kg/m3): 6082

(6)
KGdP4O12 after structural relaxation. Source: the Alexandria database, functional GGA-PBEsol.

```
KGdP4O12
1.0
3.932 -6.198 0.000
3.932 6.198 0.000
-3.739 0.000 9.835
K Gd P O
2 2 8 24
Direct
0.185 0.815 0.750
0.815 0.185 0.250
0.119 0.881 0.250
0.881 0.119 0.750
0.256 0.305 0.557
0.284 0.627 0.001
0.305 0.256 0.057
0.373 0.716 0.499
0.627 0.284 0.501
0.695 0.744 0.943
0.716 0.373 0.999
0.744 0.695 0.443
0.085 0.487 0.885
0.136 0.164 0.414
0.164 0.136 0.914
0.185 0.243 0.673
0.186 0.701 0.400
0.243 0.185 0.173
0.277 0.534 0.570
0.299 0.814 0.100
0.358 0.501 0.088
0.466 0.723 0.930
0.487 0.085 0.385
0.499 0.642 0.412
0.501 0.358 0.588
0.513 0.915 0.615
0.534 0.277 0.070
0.642 0.499 0.912
0.701 0.186 0.900
0.723 0.466 0.430
0.757 0.815 0.827
0.814 0.299 0.600
0.815 0.757 0.327
0.836 0.864 0.086
0.864 0.836 0.586
0.915 0.513 0.115
```

ΔE_f (raw) (eV per atom): -2.466
Theoretical density (kg/m3): 3548

(7)
KGdP4O12 after structural relaxation. Source: the Alexandria database, functional GGA-PBEsol.

```
KGdP4O12
1.0
7.271 0.000 0.000
0.000 8.371 0.000
-0.226 0.000 7.919
K Gd P O
2 2 8 24
Direct
0.233 0.000 0.281
0.767 0.500 0.719
0.263 0.318 0.757
0.737 0.818 0.243
0.065 0.943 0.905
0.116 0.570 0.400
0.401 0.736 0.900
0.498 0.469 0.382
0.502 0.969 0.618
0.599 0.236 0.100
0.884 0.070 0.600
0.935 0.443 0.095
0.027 0.726 0.352
0.038 0.431 0.277
0.071 0.414 0.960
0.109 0.513 0.578
0.182 0.089 0.927
0.189 0.786 0.887
0.325 0.583 0.343
0.332 0.071 0.614
0.414 0.573 0.825
0.466 0.369 0.535
0.474 0.766 0.076
0.490 0.360 0.216
0.510 0.860 0.784
0.526 0.266 0.924
0.534 0.869 0.465
0.586 0.073 0.175
0.668 0.571 0.386
0.675 0.083 0.657
0.811 0.286 0.113
0.818 0.589 0.073
0.891 0.013 0.422
0.929 0.914 0.040
0.962 0.931 0.723
0.973 0.226 0.648
```

ΔE_f (raw) (eV per atom): -2.467
Theoretical density (kg/m3): 3529

(8)
K2RbGdV2O8 after structural relaxation. Source: the Alexandria database, functional GGA-PBEsol.

```
K2RbGdV2O8
1.0
5.959 0.000 0.000
-2.980 5.161 0.000
0.000 0.000 7.630
K Rb Gd V O
2 1 1 2 8
Direct
0.333 0.667 0.189
0.667 0.333 0.811
0.000 0.000 0.500
0.000 0.000 0.000
0.333 0.667 0.742
0.667 0.333 0.258
0.176 0.352 0.822
0.176 0.824 0.822
0.333 0.667 0.525
0.352 0.176 0.178
0.648 0.824 0.822
0.667 0.333 0.475
0.824 0.176 0.178
0.824 0.648 0.178
```

ΔE_f (raw) (eV per atom): -2.567
Theoretical density (kg/m3): 3898

(9)
KGdW2O8 after structural relaxation. Source: the Alexandria database, functional GGA-PBEsol.

```
KGdW2O8
1.0
5.354 -5.246 0.000
5.354 5.246 0.000
-4.887 0.000 5.680
K Gd W O
2 2 4 16
Direct
0.205 0.795 0.750
0.795 0.205 0.250
0.228 0.772 0.250
0.772 0.228 0.750
0.302 0.305 0.267
0.305 0.302 0.767
0.695 0.698 0.233
0.698 0.695 0.733
0.044 0.210 0.685
0.067 0.383 0.128
0.210 0.044 0.185
0.239 0.379 0.552
0.369 0.586 0.027
0.379 0.239 0.052
0.383 0.067 0.628
0.414 0.631 0.473
0.586 0.369 0.527
0.617 0.933 0.372
0.621 0.761 0.948
0.631 0.414 0.973
0.761 0.621 0.448
0.790 0.956 0.815
0.933 0.617 0.872
0.956 0.790 0.315
```

ΔE_f (raw) (eV per atom): -2.537
Theoretical density (kg/m3): 7203

(10)
K3Gd3P4S16 after structural relaxation. Source: the Alexandria database, functional GGA-PBEsol.

```
K3Gd3P4S16
1.0
7.914 -5.736 0.000
7.914 5.736 0.000
-0.303 0.000 14.580
K Gd P S
6 6 8 32
Direct
0.000 0.000 0.000
0.000 0.000 0.500
0.028 0.388 0.336
0.388 0.028 0.836
0.612 0.972 0.164
0.972 0.612 0.664
0.252 0.488 0.989
0.255 0.745 0.250
0.488 0.252 0.489
0.512 0.748 0.511
0.745 0.255 0.750
0.748 0.512 0.011
0.036 0.334 0.861
0.235 0.601 0.475
0.334 0.036 0.361
0.399 0.765 0.025
0.601 0.235 0.975
0.666 0.964 0.639
0.765 0.399 0.525
0.964 0.666 0.139
0.037 0.142 0.805
0.053 0.320 0.001
0.073 0.705 0.388
0.142 0.037 0.305
0.163 0.520 0.171
0.197 0.403 0.813
0.208 0.417 0.525
0.256 0.732 0.581
0.268 0.744 0.919
0.295 0.927 0.112
0.320 0.053 0.501
0.403 0.197 0.313
0.417 0.208 0.025
0.421 0.541 0.396
0.459 0.579 0.104
0.480 0.837 0.329
0.520 0.163 0.671
0.541 0.421 0.896
0.579 0.459 0.604
0.583 0.792 0.975
0.597 0.803 0.687
0.680 0.947 0.499
0.705 0.073 0.888
0.732 0.256 0.081
0.744 0.268 0.419
0.792 0.583 0.475
0.803 0.597 0.187
0.837 0.480 0.829
0.858 0.963 0.695
0.927 0.295 0.612
0.947 0.680 0.999
0.963 0.858 0.195
```

ΔE_f (raw) (eV per atom): -1.107
Theoretical density (kg/m3): 3076

(11)
KGdS2 after structural relaxation. Source: the Alexandria database, functional GGA-PBEsol.

```
KGdS2
1.0
2.018 1.165 7.242
-2.018 1.165 7.242
0.000 -2.331 7.242
K Gd S
1 1 2
Direct
0.000 0.000 0.000
0.500 0.500 0.500
0.235 0.235 0.235
0.765 0.765 0.765
```

ΔE_f (raw) (eV per atom): -1.905
Theoretical density (kg/m3): 4232

(12)
LiGdO2 after structural relaxation. Source: the Alexandria database, functional GGA-PBEsol.

```
LiGdO2
1.0
6.309 0.000 0.000
0.000 6.094 0.000
-3.237 0.000 5.559
Li Gd O
4 4 8
Direct
0.196 0.160 0.419
0.196 0.340 0.919
0.804 0.660 0.081
0.804 0.840 0.581
0.272 0.633 0.530
0.272 0.867 0.030
0.728 0.133 0.970
0.728 0.367 0.470
0.050 0.607 0.736
0.050 0.893 0.236
0.479 0.184 0.134
0.479 0.316 0.634
0.521 0.684 0.366
0.521 0.816 0.866
0.950 0.107 0.764
0.950 0.393 0.264
```

ΔE_f (raw) (eV per atom): -2.885
Theoretical density (kg/m3): 6097
Polymorph energy (0 for the lowest one) (meV/atom): 9

- What is the theoretical density in the sixth record?
  3548 kg/m3

- Number 6 is which compound?
  KGdP4O12

- Look up the theoretical density of the third one.
  13011 kg/m3

- Among the records above, which one has the highest theoretical density?
  GdTmIr2